a.
! Fe5Pt3 PBE-GGA relaxed; values from VASP
! Magnetization = 15.76 μB per formula unit
&SYSTEM
  ibrav = 0, nat = 16, ntyp = 2
/
ATOMIC_SPECIES
Fe 55.84 Fe.upf
Pt 195.08 Pt.upf
ATOMIC_POSITIONS crystal
Fe 0.333 0.667 0.000
Fe 0.667 0.333 0.500
Fe 0.667 0.333 0.000
Fe 0.333 0.667 0.500
Fe 0.230 0.000 0.250
Fe 0.770 0.000 0.750
Fe 0.000 0.230 0.250
Fe 0.770 0.770 0.250
Fe 0.230 0.230 0.750
Fe 0.000 0.770 0.750
Pt 0.604 0.000 0.250
Pt 0.396 0.000 0.750
Pt 0.000 0.604 0.250
Pt 0.396 0.396 0.250
Pt 0.604 0.604 0.750
Pt 0.000 0.396 0.750
CELL_PARAMETERS angstrom
7.476 0.000 0.000
-3.738 6.474 0.000
0.000 0.000 4.749

b.
! Fe5Pt3 PBE-GGA relaxed; values from VASP
! Magnetization = 15.37 μB per formula unit
&SYSTEM
  ibrav = 0, nat = 16, ntyp = 2
/
ATOMIC_SPECIES
Fe 55.84 Fe.upf
Pt 195.08 Pt.upf
ATOMIC_POSITIONS crystal
Fe 0.244 0.750 0.496
Fe 0.755 0.250 0.504
Fe 0.679 0.032 0.791
Fe 0.320 0.968 0.209
Fe 0.738 0.530 0.351
Fe 0.261 0.470 0.649
Fe 0.478 0.188 0.888
Fe 0.521 0.812 0.112
Fe 0.198 0.312 0.291
Fe 0.801 0.688 0.709
Pt 0.830 0.750 0.079
Pt 0.170 0.250 0.921
Pt 0.280 0.132 0.551
Pt 0.719 0.868 0.449
Pt 0.081 0.632 0.851
Pt 0.919 0.368 0.149
CELL_PARAMETERS angstrom
-2.810 5.460 -3.490
-1.653 -5.546 5.062
2.816 5.077 4.007

Relative to the most stable one, in meV per atom, the structures come out at a 55; b 0.

a.
! Fe5Pt3 PBE-GGA relaxed; values from VASP
! Magnetization = 15.57 μB per formula unit
&SYSTEM
  ibrav = 0, nat = 8, ntyp = 2
/
ATOMIC_SPECIES
Fe 55.84 Fe.upf
Pt 195.08 Pt.upf
ATOMIC_POSITIONS crystal
Fe 0.000 0.000 0.000
Fe 0.000 0.500 0.000
Fe 0.500 0.000 0.000
Fe 0.745 0.255 0.500
Fe 0.255 0.745 0.500
Pt 0.500 0.500 0.000
Pt 0.239 0.239 0.500
Pt 0.761 0.761 0.500
CELL_PARAMETERS angstrom
-0.134 -1.814 -5.028
-4.734 -2.294 0.954
-1.771 3.194 -1.105

b.
! Fe5Pt3 PBE-GGA relaxed; values from VASP
! Magnetization = 15.42 μB per formula unit
&SYSTEM
  ibrav = 0, nat = 8, ntyp = 2
/
ATOMIC_SPECIES
Fe 55.84 Fe.upf
Pt 195.08 Pt.upf
ATOMIC_POSITIONS crystal
Fe 0.000 0.000 0.000
Fe 0.500 0.000 0.000
Fe 0.000 0.500 0.000
Fe 0.249 0.249 0.500
Fe 0.751 0.751 0.500
Pt 0.500 0.500 0.000
Pt 0.246 0.754 0.494
Pt 0.754 0.246 0.506
CELL_PARAMETERS angstrom
5.202 -1.078 -0.630
-1.568 5.076 0.630
-0.629 0.572 4.527

Relative to the most stable one, in meV per atom, the structures come out at a 0; b 8.